The following is a DFT calculation (PBE-GGA) of a relaxed AlSiAu3 crystal.

Computed properties:
- raw formation energy (meV/atom) = 264
- excess energy over the best structure of this formula in the dataset (eV/atom) = 0.000
- calculated total energy (eV per atom) = -3.536

Cell: 4.813 4.813 4.813 Å, 90.00 90.00 90.00°
Atoms (fractional coordinates):
Al1 0.000 0.000 0.000
Si1 0.500 0.500 0.500
Au1 0.000 0.500 0.500
Au2 0.500 0.000 0.500
Au3 0.500 0.500 0.000